1.
The following is a DFT calculation (PBE) of CsLiBi after structural relaxation.

Summary:
The formation energy comes out at -8.5 kcal/mol of atoms. The crystal system is tetragonal. As for the energy above the lowest structure with this stoichiometry: 0.00 eV/f.u. As for the space-group type: I4/mmm, No. 139.

Cell: 5.2526 5.2526 9.4832 Å, 106.08 106.08 90.00°
Closest atoms and distances in Å follow each position.
Fractional positions:
Cs  0.3251  0.3251  0.6502  5 Bi 4.00-4.10, 4 Li 4.03
Cs  0.6749  0.6749  0.3498  5 Bi 4.00-4.10, 4 Li 4.03
Bi  0.9099  0.9099  0.8198  4 Li 3.06, 1 Bi 3.15
Bi  0.0901  0.0901  0.1802  4 Li 3.06, 1 Bi 3.15
Li  0.5000  0.0000  0.0000  4 Bi 3.06
Li  0.0000  0.5000  0.0000  4 Bi 3.06

=====

2.
The following is a DFT calculation (PBE) of CsLiBi3 after structural relaxation.

Summary:
The formation energy comes out at 25.7 kcal/mol of atoms. The crystal system is cubic. As for the energy above the lowest structure with this stoichiometry: 5.70 eV/f.u. As for the space-group type: Pm-3m, No. 221.

Cell: 6.4003 6.4003 6.4003 Å, 90.00 90.00 90.00°
Closest atoms and distances in Å follow each position.
Fractional positions:
Bi  0.0000  0.5000  0.0000  2 Cs 3.20
Bi  0.0000  0.0000  0.5000  2 Cs 3.20
Bi  0.5000  0.0000  0.0000  2 Cs 3.20
Cs  0.0000  0.0000  0.0000  6 Bi 3.20
Li  0.5000  0.5000  0.5000  12 Bi 4.53

=====

3.
The following is a DFT calculation (PBE) of CsLi2Bi2 after structural relaxation.

Summary:
The formation energy comes out at -7.9 kcal/mol of atoms. The crystal system is tetragonal. As for the energy above the lowest structure with this stoichiometry: 0.10 eV/f.u. As for the space-group type: P4/mbm, No. 127.

Cell: 9.3826 9.3826 3.4340 Å, 90.00 90.00 90.00°
Closest atoms and distances in Å follow each position.
Fractional positions:
Li  0.3661  0.8661  0.0000  4 Bi 3.07, 2 Li 3.43
Li  0.8661  0.6339  0.0000  4 Bi 3.07, 2 Li 3.43
Li  0.1339  0.3661  0.0000  4 Bi 3.07, 2 Li 3.43
Li  0.6339  0.1339  0.0000  4 Bi 3.07, 2 Li 3.43
Cs  0.0000  0.0000  0.0000  2 Cs 3.43, 4 Li 3.66
Cs  0.5000  0.5000  0.0000  2 Cs 3.43, 4 Li 3.66
Bi  0.3631  0.1369  0.5000  4 Li 3.07, 2 Bi 3.43
Bi  0.1369  0.6369  0.5000  4 Li 3.07, 2 Bi 3.43
Bi  0.8631  0.3631  0.5000  4 Li 3.07, 2 Bi 3.43
Bi  0.6369  0.8631  0.5000  4 Li 3.07, 2 Bi 3.43

=====

4.
The following is a DFT calculation (PBE) of Cs3LiBi4 after structural relaxation.

Summary:
The formation energy comes out at -5.8 kcal/mol of atoms. The crystal system is orthorhombic. As for the space-group type: Pmmn, No. 59.

Cell: 6.7877 7.2246 15.0692 Å, 90.00 90.00 90.00°
Closest atoms and distances in Å follow each position.
Fractional positions:
Cs  0.5693  0.0000  0.0000  2 Li 3.68, 4 Bi 3.84-3.92
Cs  0.1777  0.0000  0.7563  6 Bi 3.81-4.18, 1 Li 3.99
Cs  0.8223  0.5000  0.7437  6 Bi 3.81-4.18, 1 Li 3.99
Cs  0.1777  0.0000  0.2437  6 Bi 3.81-4.18, 1 Li 3.99
Cs  0.4307  0.5000  0.5000  2 Li 3.68, 4 Bi 3.84-3.92
Cs  0.8223  0.5000  0.2563  6 Bi 3.81-4.18, 1 Li 3.99
Bi  0.0760  0.7396  0.0000  3 Bi 3.17-3.46, 1 Li 3.24
Bi  0.0760  0.2604  0.0000  3 Bi 3.17-3.46, 1 Li 3.24
Bi  0.6693  0.0000  0.6340  1 Li 3.08, 2 Bi 3.17
Bi  0.6693  0.0000  0.3660  1 Li 3.08, 2 Bi 3.17
Bi  0.3307  0.5000  0.1340  1 Li 3.08, 2 Bi 3.17
Bi  0.3307  0.5000  0.8660  1 Li 3.08, 2 Bi 3.17
Bi  0.9240  0.7604  0.5000  3 Bi 3.17-3.46, 1 Li 3.24
Bi  0.9240  0.2396  0.5000  3 Bi 3.17-3.46, 1 Li 3.24
Li  0.3269  0.0000  0.5000  4 Bi 3.08-3.24
Li  0.6731  0.5000  0.0000  4 Bi 3.08-3.24

=====

5.
The following is a DFT calculation (PBE) of Cs3Li2Bi2 after structural relaxation.

Summary:
The formation energy comes out at -7.8 kcal/mol of atoms. The crystal system is orthorhombic. As for the space-group type: Pbcm, No. 57.

Cell: 7.5671 9.9211 16.0601 Å, 90.00 90.00 90.00°
Closest atoms and distances in Å follow each position.
Fractional positions:
Li  0.5966  0.4787  0.4134  3 Bi 3.02-3.06, 1 Li 3.17
Li  0.5966  0.0213  0.5866  3 Bi 3.02-3.06, 1 Li 3.17
Li  0.4034  0.5213  0.5866  3 Bi 3.02-3.06, 1 Li 3.17
Li  0.4034  0.9787  0.4134  3 Bi 3.02-3.06, 1 Li 3.17
Li  0.4034  0.9787  0.0866  3 Bi 3.02-3.06, 1 Li 3.17
Li  0.5966  0.0213  0.9134  3 Bi 3.02-3.06, 1 Li 3.17
Li  0.4034  0.5213  0.9134  3 Bi 3.02-3.06, 1 Li 3.17
Li  0.5966  0.4787  0.0866  3 Bi 3.02-3.06, 1 Li 3.17
Cs  0.6924  0.7122  0.7500  4 Bi 3.71-4.09, 4 Li 3.91-4.10
Cs  0.1137  0.6187  0.1014  4 Li 3.85-4.20, 3 Bi 3.91-4.24, 2 Cs 4.17-4.32
Cs  0.1137  0.8813  0.6014  4 Li 3.85-4.20, 3 Bi 3.91-4.24, 2 Cs 4.17-4.32
Cs  0.6924  0.7878  0.2500  4 Bi 3.71-4.09, 4 Li 3.91-4.10
Cs  0.1137  0.8813  0.8986  4 Li 3.85-4.20, 3 Bi 3.91-4.24, 2 Cs 4.17-4.32
Cs  0.8863  0.1187  0.1014  4 Li 3.85-4.20, 3 Bi 3.91-4.24, 2 Cs 4.17-4.32
Cs  0.1137  0.6187  0.3986  4 Li 3.85-4.20, 3 Bi 3.91-4.24, 2 Cs 4.17-4.32
Cs  0.8863  0.3813  0.6014  4 Li 3.85-4.20, 3 Bi 3.91-4.24, 2 Cs 4.17-4.32
Cs  0.8863  0.1187  0.3986  4 Li 3.85-4.20, 3 Bi 3.91-4.24, 2 Cs 4.17-4.32
Cs  0.3076  0.2122  0.7500  4 Bi 3.71-4.09, 4 Li 3.91-4.10
Cs  0.8863  0.3813  0.8986  4 Li 3.85-4.20, 3 Bi 3.91-4.24, 2 Cs 4.17-4.32
Cs  0.3076  0.2878  0.2500  4 Bi 3.71-4.09, 4 Li 3.91-4.10
Bi  0.2219  0.9200  0.2500  2 Li 3.02
Bi  0.7781  0.0799  0.7500  2 Li 3.02
Bi  0.3981  0.2500  0.5000  4 Li 3.03-3.06
Bi  0.6019  0.7500  0.0000  4 Li 3.03-3.06
Bi  0.3981  0.2500  0.0000  4 Li 3.03-3.06
Bi  0.2219  0.5800  0.7500  2 Li 3.02
Bi  0.6019  0.7500  0.5000  4 Li 3.03-3.06
Bi  0.7781  0.4200  0.2500  2 Li 3.02

=====

6.
The following is a DFT calculation (PBE) of CsLiBi after structural relaxation.

Summary:
The formation energy comes out at -5.1 kcal/mol of atoms. The crystal system is hexagonal. As for the energy above the lowest structure with this stoichiometry: 0.45 eV/f.u. As for the space-group type: P-6m2, No. 187.

Cell: 4.0660 5.6625 5.6625 Å, 120.00 90.00 90.00°
Closest atoms and distances in Å follow each position.
Fractional positions:
Li  0.1666  0.0000  0.0000  3 Bi 3.27
Bi  0.1667  0.6667  0.3333  3 Li 3.27
Cs  0.6667  0.3333  0.6667  6 Li 3.85, 6 Bi 3.85, 2 Cs 4.07